# Fe4Co2Ni5, relaxed, DFT PBE
data_Fe4Co2Ni5
_chemical_formula_sum 'Fe4 Co2 Ni5'
_symmetry_space_group_name_H-M 'P 1'
_symmetry_Int_Tables_number 1
_symmetry_space_group_name_Hall 'P 1'
_cell_length_a 8.603
_cell_length_b 8.603
_cell_length_c 6.071
_cell_angle_alpha 95.90
_cell_angle_beta 95.90
_cell_angle_gamma 16.42
loop_
_atom_site_label
_atom_site_type_symbol
_atom_site_fract_x
_atom_site_fract_y
_atom_site_fract_z
_atom_site_occupancy
Fe1 Fe 0.045 0.045 0.346 1
Fe2 Fe 0.271 0.271 0.182 1
Fe3 Fe 0.729 0.729 0.818 1
Fe4 Fe 0.955 0.955 0.654 1
Co1 Co 0.412 0.412 0.300 1
Co2 Co 0.588 0.588 0.700 1
Ni1 Ni 0.132 0.132 0.052 1
Ni2 Ni 0.183 0.183 0.470 1
Ni3 Ni 0.500 0.500 0.000 1
Ni4 Ni 0.817 0.817 0.530 1
Ni5 Ni 0.868 0.868 0.948 1
# mass density = 8.3 g cm⁻³
# DOS(E_F) = 8.867 states/eV/f.u.
# formation enthalpy at 0 K = 77 meV per atom
# SG = No. 12